Material: NbPHCl2
Method: DFT, meta-GGA SCAN
State: single point on PBEsol structure

The space group is P4/mmm (No. 123) and the conventional cell measures 4.855, 4.855 and 4.800 Å, with angles of 90.00, 90.00 and 90.00 degrees. The distinct sites, in fractional coordinates, are Nb at (0.000, 0.000, 0.000), P at (0.000, 0.000, 0.500), H at (0.500, 0.500, 0.500) and Cl at (0.000, 0.500, 0.000).

The energy above the most stable polymorph in this dataset comes out at 0.000 eV per atom. The total energy comes out at -12.541 eV per atom.